[1]
{"formula": "ZnTcSe3", "functional": "PBE", "state": "optimized geometry", "lattice": [[4.898, 0.000, 0.000], [0.000, 4.898, 0.000], [0.000, 0.000, 4.898]], "species": ["Zn", "Tc", "Se", "Se", "Se"], "fractional_positions": [[0.000, 0.000, 0.000], [0.500, 0.500, 0.500], [0.000, 0.000, 0.500], [0.000, 0.500, 0.000], [0.500, 0.000, 0.000]], "n_ef_per_ev_atom": 0.814, "e_form_raw_ev_per_atom": 0.91, "e_above_lowest_polymorph_ev_per_atom": 0.5375, "sg": "No. 221", "m_tot_mub_per_fu": 3.8}

[2]
{"formula": "DyHfV4", "functional": "PBE", "state": "optimized geometry", "lattice": [[0.000, 3.720, 3.720], [3.720, 0.000, 3.720], [3.720, 3.720, 0.000]], "species": ["Dy", "Hf", "V", "V", "V", "V"], "fractional_positions": [[0.000, 0.000, 0.000], [0.250, 0.250, 0.250], [0.126, 0.625, 0.625], [0.625, 0.126, 0.625], [0.625, 0.625, 0.126], [0.625, 0.625, 0.625]], "n_ef_per_ev_atom": 2.146, "sg": "No. 216", "formation_enthalpy_0k_ev_per_atom": 0.229, "m_tot_mub_per_fu": 0.0}